Record 1
The following is a DFT calculation (PBE) of a relaxed structure of NaIn2SnHg5.

Properties
formation energy	-0.28	eV/f.u.
magnetization	0.000	μB per atom

extended XYZ file:
```
18
Lattice="-2.077 0.045 2.996 6.797 -5.241 2.572 7.447 12.100 4.978" Properties=species:S:1:pos:R:3 pbc="T T T"
Hg 1.854 2.102 3.471
Hg 7.151 7.543 7.060
Hg 5.653 0.395 3.912
Hg 1.297 0.297 0.894
Hg 4.997 -3.388 3.514
Hg 8.310 2.447 7.941
Hg 4.348 5.706 5.145
Hg 7.781 5.016 5.317
Hg 2.751 -0.769 4.137
Hg 10.304 4.787 7.069
Sn 5.820 2.673 6.212
Sn 9.629 9.564 6.529
Na 6.148 10.661 6.318
Na 8.401 0.113 5.821
In 4.694 3.305 3.204
In 9.723 7.255 8.847
In 6.110 8.064 4.112
In 5.634 -1.848 6.151
```

Record 2
The following is a DFT calculation (PBE) of a relaxed structure of NaInSnHg.

Properties
formation energy	-0.44	eV/f.u.
magnetization	0.000	μB per atom

extended XYZ file:
```
4
Lattice="-2.300 2.225 4.197 -5.256 0.424 0.213 -2.752 -2.970 3.385" Properties=species:S:1:pos:R:3 pbc="T T T"
Hg 0.000 0.000 0.000
In -5.154 -0.161 3.897
Na -7.731 -0.241 5.846
Sn -2.577 -0.080 1.949
```

Record 3
The following is a DFT calculation (PBE) of a relaxed structure of NaIn2SnHg4.

Properties
formation energy	-0.17	eV/f.u.
magnetization	0.000	μB per atom

extended XYZ file:
```
8
Lattice="-3.273 4.806 -1.950 -4.114 -1.015 4.434 6.807 1.734 2.478" Properties=species:S:1:pos:R:3 pbc="T T T"
Sn -0.080 4.218 0.885
In 0.000 0.000 0.000
In -0.501 1.307 4.077
Hg -2.111 3.741 3.133
Hg 1.467 6.021 2.733
Hg -1.627 2.415 -0.963
Hg 1.530 1.784 1.829
Na -3.694 1.895 1.242
```